VASP calculation (GGA-PBE) on a relaxed Pm2Sm3Zn2 crystal.

The value obtained for the energy above the most stable polymorph in this dataset is 0.07 eV per formula unit. The raw total energy comes out at -27.0 eV for the cell shown. The formation enthalpy at 0 K is -0.84 eV per formula unit. The magnetic moment comes out at 0.7 μB per formula unit.

```
7
Lattice="1.837 -15.342 0.000 1.837 15.342 0.000 0.000 0.000 3.611" Properties=species:S:1:pos:R:3 pbc="T T T"
Pm 1.837 9.195 0.000
Pm 1.837 -9.195 0.000
Sm 1.837 12.753 0.000
Sm 1.837 0.000 1.806
Sm 1.837 -12.753 0.000
Zn 1.837 4.361 1.806
Zn 1.837 -4.361 1.806
```

***

VASP calculation (GGA-PBE) on a relaxed PmSm5Zn4 crystal.

The raw total energy comes out at -36.0 eV for the cell shown. The formation enthalpy at 0 K is -2.53 eV per formula unit. The magnetic moment comes out at 0.0 μB per formula unit.

```
10
Lattice="3.640 0.000 0.000 0.000 3.640 0.000 0.000 0.000 19.728" Properties=species:S:1:pos:R:3 pbc="T T T"
Pm 0.000 0.000 0.000
Sm 1.820 1.820 2.608
Sm 1.820 1.820 6.243
Sm 1.820 1.820 9.864
Sm 1.820 1.820 13.485
Sm 1.820 1.820 17.120
Zn 0.000 0.000 4.408
Zn 0.000 0.000 8.035
Zn 0.000 0.000 11.694
Zn 0.000 0.000 15.320
```

***

VASP calculation (GGA-PBE) on a relaxed Pm3SmZn crystal.

The value obtained for the energy above the most stable polymorph in this dataset is 0.88 eV per formula unit. The raw total energy comes out at -39.9 eV for the cell shown. The formation enthalpy at 0 K is 0.30 eV per formula unit. The magnetic moment comes out at 0.0 μB per formula unit.

```
10
Lattice="6.020 -4.506 0.000 6.020 4.506 0.000 -5.181 0.000 6.015" Properties=species:S:1:pos:R:3 pbc="T T T"
Pm -1.038 0.000 1.934
Pm 2.048 1.731 1.464
Pm 2.048 -1.731 1.464
Pm 4.810 1.731 4.551
Pm 4.810 -1.731 4.551
Pm 7.896 0.000 4.081
Sm 1.428 0.000 4.391
Sm 5.430 0.000 1.624
Zn -1.505 0.000 5.325
Zn 8.363 0.000 0.690
```

***

VASP calculation (GGA-PBE) on a relaxed PmSm7Zn4 crystal.

The raw total energy comes out at -43.0 eV for the cell shown. The formation enthalpy at 0 K is -0.13 eV per formula unit. The magnetic moment comes out at 0.3 μB per formula unit.

```
12
Lattice="7.091 -2.825 0.000 7.091 2.825 0.000 -5.381 0.000 8.306" Properties=species:S:1:pos:R:3 pbc="T T T"
Pm 0.000 0.000 0.000
Sm -1.182 0.000 3.351
Sm -1.809 0.000 7.303
Sm 2.179 0.000 2.737
Sm 7.091 0.000 0.000
Sm 6.622 0.000 5.569
Sm 10.610 0.000 1.003
Sm 9.983 0.000 4.955
Zn 0.994 0.000 5.494
Zn 5.081 0.000 2.216
Zn 3.720 0.000 6.091
Zn 7.807 0.000 2.812
```

***

Listing DOS(E_F) for the structures above in their given order: 7.9, 11.8, 15.1, 14.4 states/eV per cell.